No. 1
Density functional theory data (PBE) for a relaxed structure of K2PO.

Computed properties:
Uncorrected formation energy, eV per atom: -0.593
V, A^3/atom: 29.41
DOS(E_F), states/eV per atom: 0.4661

Lattice parameters (Å, degrees): 11.126 11.126 3.802 90.00 90.00 90.00
Space group I-42d (No. 122)
Unique sites:
K 0.026 0.750 0.125 (multiplicity 8)
P 0.000 0.000 0.500 (multiplicity 4)
O 0.000 0.000 0.000 (multiplicity 4)

No. 2
Density functional theory data (PBE) for a relaxed structure of K3PO3.

Computed properties:
Uncorrected formation energy, eV per atom: -1.482
V, A^3/atom: 24.79
DOS(E_F), states/eV per atom: 0.2679

Lattice parameters (Å, degrees): 8.4129 8.4129 5.6606 90.00 90.00 120.00
Space group P6_3/mmc (No. 194)
Unique sites:
K 0.1748 0.3496 0.2500 (multiplicity 6)
P 0.3333 0.6667 0.7500 (multiplicity 2)
O 0.2273 0.4547 0.7500 (multiplicity 6)

No. 3
Density functional theory data (PBE) for a relaxed structure of KPO2.

Computed properties:
Uncorrected formation energy, eV per atom: -1.048
V, A^3/atom: 17.76
DOS(E_F), states/eV per atom: 0.0778

Lattice parameters (Å, degrees): 5.376 5.376 9.832 90.00 90.00 90.00
Space group I-42d (No. 122)
Unique sites:
K 0.000 0.000 0.000 (multiplicity 4)
P 0.000 0.000 0.500 (multiplicity 4)
O 0.103 0.250 0.625 (multiplicity 8)

No. 4
Density functional theory data (PBE) for a relaxed structure of K2PO.

Computed properties:
Uncorrected formation energy, eV per atom: 0.048
V, A^3/atom: 25.52
DOS(E_F), states/eV per atom: 0.1438

Lattice parameters (Å, degrees): 7.419 7.419 7.419 90.00 90.00 90.00
Space group Fm-3m (No. 225)
Unique sites:
K 0.250 0.250 0.250 (multiplicity 8)
P 0.000 0.000 0.000 (multiplicity 4)
O 0.000 0.000 0.500 (multiplicity 4)

No. 5
Density functional theory data (PBE) for a relaxed structure of KP2O.

Computed properties:
Uncorrected formation energy, eV per atom: -0.140
V, A^3/atom: 20.30
DOS(E_F), states/eV per atom: 0.3690

Lattice parameters (Å, degrees): 4.755 4.755 14.367 90.00 90.00 90.00
Space group I4_1/amd (No. 141, origin choice 2)
Unique sites:
K 0.000 0.250 0.375 (multiplicity 4)
P 0.000 0.000 0.000 (multiplicity 8)
O 0.000 0.250 0.875 (multiplicity 4)

No. 6
Density functional theory data (PBE) for a relaxed structure of K3PO4.

Computed properties:
Uncorrected formation energy, eV per atom: -2.150
V, A^3/atom: 19.31
DOS(E_F), states/eV per atom: 0.0000

Lattice parameters (Å, degrees): 7.730 6.554 6.097 90.00 90.00 90.00
Space group Pmn2_1 (No. 31)
Unique sites:
K 0.000 0.158 0.000 (multiplicity 2)
K 0.245 0.303 0.494 (multiplicity 4)
P 0.000 0.809 0.488 (multiplicity 2)
O 0.000 0.030 0.588 (multiplicity 2)
O 0.000 0.823 0.232 (multiplicity 2)
O 0.167 0.692 0.565 (multiplicity 4)

No. 7
Density functional theory data (PBE) for a relaxed structure of KPO3.

Computed properties:
Uncorrected formation energy, eV per atom: 1.440
V, A^3/atom: 20.38
DOS(E_F), states/eV per atom: 1.1799

Lattice parameters (Å, degrees): 4.671 4.671 4.671 90.00 90.00 90.00
Space group Pm-3m (No. 221)
Unique sites:
K 0.000 0.000 0.000 (multiplicity 1)
P 0.500 0.500 0.500 (multiplicity 1)
O 0.000 0.000 0.500 (multiplicity 3)

No. 8
Density functional theory data (PBE) for a relaxed structure of KPO3.

Computed properties:
Uncorrected formation energy, eV per atom: -2.261
V, A^3/atom: 17.49
DOS(E_F), states/eV per atom: 0.0000

Lattice parameters (Å, degrees): 12.851 7.469 11.666 90.00 110.46 90.00
Space group C2/c (No. 15)
Unique sites:
K 0.091 0.227 0.499 (multiplicity 8)
K 0.250 0.250 0.000 (multiplicity 4)
P 0.000 0.182 0.750 (multiplicity 4)
P 0.117 0.464 0.246 (multiplicity 8)
O 0.000 0.385 0.250 (multiplicity 4)
O 0.041 0.085 0.870 (multiplicity 8)
O 0.098 0.319 0.747 (multiplicity 8)
O 0.126 0.415 0.125 (multiplicity 8)
O 0.206 0.416 0.365 (multiplicity 8)

No. 9
Density functional theory data (PBE) for a relaxed structure of KPO3.

Computed properties:
Uncorrected formation energy, eV per atom: -2.260
V, A^3/atom: 17.07
DOS(E_F), states/eV per atom: 0.0000

Lattice parameters (Å, degrees): 4.502 5.927 12.795 90.00 90.00 90.00
Space group Pnma (No. 62)
Unique sites:
K 0.228 0.250 0.090 (multiplicity 4)
P 0.181 0.750 0.327 (multiplicity 4)
O 0.165 0.250 0.711 (multiplicity 4)
O 0.238 0.532 0.383 (multiplicity 8)

No. 10
Density functional theory data (PBE) for a relaxed structure of K3PO4.

Computed properties:
Uncorrected formation energy, eV per atom: -2.140
V, A^3/atom: 18.32
DOS(E_F), states/eV per atom: 0.0000

Lattice parameters (Å, degrees): 5.924 8.074 6.128 90.00 90.00 90.00
Space group Imm2 (No. 44)
Unique sites:
K 0.000 0.000 0.000 (multiplicity 2)
K 0.000 0.239 0.493 (multiplicity 4)
P 0.000 0.500 0.946 (multiplicity 2)
O 0.000 0.340 0.090 (multiplicity 4)
O 0.214 0.500 0.798 (multiplicity 4)

No. 11
Density functional theory data (PBE) for a relaxed structure of KP2O2.

Computed properties:
Uncorrected formation energy, eV per atom: 1.946
V, A^3/atom: 48.24
DOS(E_F), states/eV per atom: 1.9441

Lattice parameters (Å, degrees): 7.068 7.068 4.828 90.00 90.00 90.00
Space group P4/mmm (No. 123)
Unique sites:
K 0.000 0.000 0.000 (multiplicity 1)
P 0.000 0.500 0.000 (multiplicity 2)
O 0.000 0.000 0.500 (multiplicity 1)
O 0.500 0.500 0.500 (multiplicity 1)

No. 12
Density functional theory data (PBE) for a relaxed structure of KP2O2.

Computed properties:
Uncorrected formation energy, eV per atom: -0.187
V, A^3/atom: 14.08
DOS(E_F), states/eV per atom: 0.5898

Lattice parameters (Å, degrees): 3.943 3.943 4.529 90.00 90.00 90.00
Space group P4/mmm (No. 123)
Unique sites:
K 0.000 0.000 0.000 (multiplicity 1)
P 0.500 0.500 0.000 (multiplicity 1)
P 0.500 0.500 0.500 (multiplicity 1)
O 0.000 0.500 0.500 (multiplicity 2)

Repeat the second record exactly.
Density functional theory data (PBE) for a relaxed structure of K3PO3.

Computed properties:
Uncorrected formation energy, eV per atom: -1.482
V, A^3/atom: 24.79
DOS(E_F), states/eV per atom: 0.2679

Lattice parameters (Å, degrees): 8.4129 8.4129 5.6606 90.00 90.00 120.00
Space group P6_3/mmc (No. 194)
Unique sites:
K 0.1748 0.3496 0.2500 (multiplicity 6)
P 0.3333 0.6667 0.7500 (multiplicity 2)
O 0.2273 0.4547 0.7500 (multiplicity 6)

> The highest DOS(E_F) belongs to which entry?

number 11